NaDyHg | the Alexandria database | PBE | relaxed; energy above the most stable polymorph in this dataset = 0 meV per atom; calculated volume = 90 Å³/cell; ΔE_f = -114 meV per atom; E_tot = -6.57 eV/cell; symmetry = I4mm (107)
1.0
3.6971 0.0000 0.0000
0.0000 3.6971 0.0000
-1.8486 -1.8486 6.5588
Na Hg Dy
1 1 1
Direct
0.0205 0.0205 0.0410 Na
0.6791 0.6791 0.3581 Hg
0.3004 0.3004 0.6009 Dy

Na3DyHg4 | the Alexandria database | PBE | relaxed; calculated volume = 203 Å³/cell; ΔE_f = -271 meV per atom; E_tot = -11.93 eV/cell; symmetry = C2/m (12)
1.0
5.0200 0.0000 -1.3551
-0.3615 5.0114 -1.3394
-0.4459 -0.5199 8.3243
Na Hg Dy
3 4 1
Direct
0.0000 0.5000 0.0000 Na
0.7512 0.2511 0.5024 Na
0.2488 0.7489 0.4976 Na
0.3796 0.3796 0.7591 Hg
0.6204 0.6204 0.2409 Hg
0.1204 0.1205 0.2409 Hg
0.8796 0.8795 0.7591 Hg
0.5000 0.0000 0.0000 Dy

NaDy5Hg8 | the Alexandria database | PBE | relaxed; calculated volume = 366 Å³/cell; ΔE_f = -364 meV per atom; E_tot = -31.83 eV/cell; symmetry = I-4 (82)
1.0
-6.8692 -1.9292 3.1677
-1.0241 1.7606 -7.5362
4.9486 -6.0069 0.6090
Na Dy Hg
1 5 8
Direct
0.2500 0.5000 0.7500 Na
0.9848 0.3877 0.1238 Dy
0.8762 0.8610 0.2639 Dy
0.7361 0.6123 0.5971 Dy
0.5000 0.0000 0.5000 Dy
0.4029 0.1390 0.0152 Dy
0.1167 0.7567 0.0259 Hg
0.9741 0.0908 0.7308 Hg
0.8074 0.2458 0.3846 Hg
0.6154 0.4228 0.8612 Hg
0.4384 0.5772 0.1926 Hg
0.6399 0.9092 0.8833 Hg
0.2692 0.2433 0.3601 Hg
0.1388 0.7542 0.5616 Hg

Na2DyHg8 | the Alexandria database | PBE | relaxed; calculated volume = 275 Å³/cell; ΔE_f = -226 meV per atom; E_tot = -12.14 eV/cell; symmetry = C2/m (12)
1.0
4.7509 0.0000 -1.4364
-0.6601 6.8926 -2.1835
-0.0425 -0.1098 8.4347
Na Dy Hg
2 1 8
Direct
0.2187 0.6486 0.4374 Na
0.7813 0.3514 0.5626 Na
0.5000 0.0000 0.0000 Dy
0.5974 0.4495 0.1947 Hg
0.3298 0.1130 0.6596 Hg
0.1493 0.1546 0.2986 Hg
0.0206 0.7214 0.0411 Hg
0.8507 0.8454 0.7014 Hg
0.6702 0.8870 0.3404 Hg
0.4026 0.5505 0.8053 Hg
0.9794 0.2786 0.9589 Hg

NaDyHg2 | the Alexandria database | PBE | relaxed; calculated volume = 111 Å³/cell; ΔE_f = -217 meV per atom; E_tot = -7.39 eV/cell; symmetry = R3m (160)
1.0
-2.5270 2.6224 -0.7176
-3.4615 -0.9635 -0.9312
-4.4438 0.6552 8.4434
Na Dy Hg
1 1 2
Direct
0.4998 0.4998 0.5007 Na
0.6668 0.6668 0.9996 Dy
0.0811 0.0811 0.7567 Hg
0.2523 0.2523 0.2430 Hg

NaDy2Hg3 | the Alexandria database | PBE | relaxed; calculated volume = 156 Å³/cell; ΔE_f = -390 meV per atom; E_tot = -13.77 eV/cell; symmetry = P4/mmm (123)
1.0
3.6862 0.0000 0.0000
0.0000 3.6862 0.0000
0.0000 0.0000 11.4446
Na Dy Hg
1 2 3
Direct
0.5000 0.5000 0.5000 Na
0.5000 0.5000 0.8349 Dy
0.5000 0.5000 0.1651 Dy
0.0000 0.0000 0.0000 Hg
0.0000 0.0000 0.6793 Hg
0.0000 0.0000 0.3207 Hg

Q: Number 6 is which compound?
A: NaDy2Hg3

Q: Number 5 is which compound?
A: NaDyHg2

Q: What is the ΔE_f in the fourth record?
A: -226 meV per atom